P) Li2Sm3Tl3 | Alexandria via LeMat-Bulk | PBE-GGA | relaxed; symmetry = C2/m, No. 12; D(E_F) = 0.581 states/eV/atom
1.0
8.950 -2.327 0.000
8.950 2.327 0.000
-1.372 0.000 4.775
Li Sm Tl
2 3 3
direct
0.242 0.242 0.243
0.758 0.758 0.757
0.000 0.000 0.000
0.140 0.140 0.641
0.860 0.860 0.359
0.348 0.348 0.848
0.500 0.500 0.500
0.652 0.652 0.152


Q) Li2Sm3Tl3 | Alexandria via LeMat-Bulk | PBE-GGA | relaxed; symmetry = P6_3/mcm, No. 193; D(E_F) = 0.460 states/eV/atom
1.0
9.205 0.000 0.000
-4.603 7.972 0.000
0.000 0.000 5.847
Li Sm Tl
4 6 6
direct
0.333 0.667 0.000
0.333 0.667 0.500
0.667 0.333 0.000
0.667 0.333 0.500
0.000 0.244 0.250
0.000 0.756 0.750
0.244 0.000 0.250
0.244 0.244 0.750
0.756 0.000 0.750
0.756 0.756 0.250
0.000 0.407 0.750
0.000 0.593 0.250
0.407 0.000 0.750
0.407 0.407 0.250
0.593 0.000 0.250
0.593 0.593 0.750


Relative energies, unit meV per atom: P) 0; Q) 7


P) LiSm2Tl3 | Alexandria via LeMat-Bulk | PBE-GGA | relaxed; symmetry = Cmcm, No. 63; D(E_F) = 0.889 states/eV/atom
1.0
1.740 -14.384 0.000
1.740 14.384 0.000
0.000 0.000 6.679
Li Sm Tl
2 4 6
direct
0.158 0.842 0.750
0.842 0.158 0.250
0.337 0.663 0.750
0.495 0.505 0.250
0.505 0.495 0.750
0.663 0.337 0.250
0.082 0.918 0.010
0.082 0.918 0.490
0.263 0.737 0.250
0.737 0.263 0.750
0.918 0.082 0.510
0.918 0.082 0.990


Q) LiSm2Tl3 | Alexandria via LeMat-Bulk | PBE-GGA | relaxed; symmetry = P-3m1, No. 164; D(E_F) = 0.466 states/eV/atom
1.0
5.305 0.000 0.000
-2.652 4.594 0.000
0.000 0.000 13.223
Li Sm Tl
2 4 6
direct
0.333 0.667 0.159
0.667 0.333 0.841
0.000 0.000 0.000
0.000 0.000 0.500
0.333 0.667 0.679
0.667 0.333 0.321
0.000 0.000 0.243
0.000 0.000 0.757
0.333 0.667 0.411
0.333 0.667 0.921
0.667 0.333 0.079
0.667 0.333 0.589


Relative energies, unit meV per atom: P) 137; Q) 0


P) LiSm4Tl2 | Alexandria via LeMat-Bulk | PBE-GGA | relaxed; symmetry = P2_1/m, No. 11; D(E_F) = 1.135 states/eV/atom
1.0
7.188 0.000 0.000
0.000 6.674 0.000
-2.802 0.000 8.639
Li Sm Tl
2 8 4
direct
0.038 0.250 0.262
0.962 0.750 0.738
0.177 0.750 0.138
0.325 0.008 0.782
0.325 0.492 0.782
0.447 0.250 0.466
0.553 0.750 0.534
0.675 0.508 0.218
0.675 0.992 0.218
0.823 0.250 0.862
0.067 0.750 0.460
0.273 0.250 0.081
0.727 0.750 0.919
0.933 0.250 0.540


Q) LiSm4Tl2 | Alexandria via LeMat-Bulk | PBE-GGA | relaxed; symmetry = R-3m, No. 166; D(E_F) = 0.897 states/eV/atom
1.0
2.689 1.553 8.394
-2.689 1.553 8.394
0.000 -3.105 8.394
Li Sm Tl
1 4 2
direct
0.000 0.000 0.000
0.133 0.133 0.133
0.390 0.390 0.390
0.610 0.610 0.610
0.867 0.867 0.867
0.262 0.262 0.262
0.738 0.738 0.738


Relative energies, unit meV per atom: P) 47; Q) 0


P) LiSm3Tl3 | Alexandria via LeMat-Bulk | PBE-GGA | relaxed; symmetry = C2/m, No. 12; D(E_F) = 0.904 states/eV/atom
1.0
5.792 -2.342 0.000
5.792 2.342 0.000
-5.124 0.000 14.547
Li Sm Tl
2 6 6
direct
0.241 0.241 0.401
0.759 0.759 0.599
0.261 0.261 0.777
0.406 0.406 0.082
0.464 0.464 0.615
0.536 0.536 0.385
0.594 0.594 0.918
0.739 0.739 0.223
0.029 0.029 0.238
0.127 0.127 0.073
0.137 0.137 0.555
0.863 0.863 0.445
0.873 0.873 0.927
0.971 0.971 0.762


Q) LiSm3Tl3 | Alexandria via LeMat-Bulk | PBE-GGA | relaxed; symmetry = C2/m, No. 12; D(E_F) = 0.827 states/eV/atom
1.0
4.118 -5.478 0.000
4.118 5.478 0.000
-0.879 0.000 8.862
Li Sm Tl
2 6 6
direct
0.226 0.226 0.459
0.774 0.774 0.541
0.116 0.116 0.837
0.251 0.749 0.500
0.324 0.676 0.000
0.676 0.324 0.000
0.749 0.251 0.500
0.884 0.884 0.163
0.053 0.385 0.226
0.385 0.053 0.226
0.459 0.459 0.701
0.541 0.541 0.299
0.615 0.947 0.774
0.947 0.615 0.774


Relative energies, unit meV per atom: P) 0; Q) 73


P) LiSm2Tl2 | Alexandria via LeMat-Bulk | PBE-GGA | relaxed; symmetry = Ibam, No. 72; D(E_F) = 0.977 states/eV/atom
1.0
-3.352 6.562 3.213
3.352 -6.562 3.213
3.352 6.562 -3.213
Li Sm Tl
2 4 4
direct
0.250 0.250 0.000
0.750 0.750 0.000
0.147 0.706 0.853
0.353 0.206 0.559
0.647 0.794 0.441
0.853 0.294 0.147
0.112 0.230 0.342
0.388 0.730 0.118
0.612 0.270 0.882
0.888 0.770 0.658


Q) LiSm2Tl2 | Alexandria via LeMat-Bulk | PBE-GGA | relaxed; symmetry = Immm, No. 71; D(E_F) = 0.774 states/eV/atom
1.0
-1.950 3.468 5.014
1.950 -3.468 5.014
1.950 3.468 -5.014
Li Sm Tl
1 2 2
direct
0.000 0.000 0.000
0.278 0.778 0.500
0.722 0.222 0.500
0.272 0.500 0.772
0.728 0.500 0.228


Relative energies, unit meV per atom: P) 99; Q) 0


P) LiSm2Tm | Alexandria via LeMat-Bulk | PBE-GGA | relaxed; symmetry = R-3m, No. 166; D(E_F) = 1.248 states/eV/atom
1.0
1.741 1.005 12.241
-1.741 1.005 12.241
0.000 -2.010 12.241
Li Sm Tm
1 2 1
direct
0.000 0.000 0.000
0.089 0.089 0.089
0.911 0.911 0.911
0.500 0.500 0.500


Q) LiSm2Tm | Alexandria via LeMat-Bulk | PBE-GGA | relaxed; symmetry = P4/mmm, No. 123; D(E_F) = 1.449 states/eV/atom
1.0
3.628 0.000 0.000
0.000 3.628 0.000
0.000 0.000 8.982
Li Sm Tm
1 2 1
direct
0.000 0.000 0.000
0.500 0.500 0.230
0.500 0.500 0.770
0.000 0.000 0.500


R) LiSm2Tm | Alexandria via LeMat-Bulk | PBE-GGA | relaxed; symmetry = R3m, No. 160; D(E_F) = 0.795 states/eV/atom
1.0
1.760 1.016 11.327
-1.760 1.016 11.327
0.000 -2.033 11.327
Li Sm Tm
1 2 1
direct
0.000 0.000 0.000
0.251 0.251 0.251
0.416 0.416 0.416
0.833 0.833 0.833


S) LiSm2Tm | Alexandria via LeMat-Bulk | PBE-GGA | relaxed; symmetry = Fm-3m, No. 225; D(E_F) = 1.056 states/eV/atom
1.0
0.000 3.902 3.902
3.902 0.000 3.902
3.902 3.902 0.000
Li Sm Tm
1 2 1
direct
0.000 0.000 0.000
0.250 0.250 0.250
0.750 0.750 0.750
0.500 0.500 0.500


Relative energies, unit meV per atom: P) 92; Q) 0; R) 6; S) 86